A plane-wave DFT calculation with GGA-PBE was carried out for an optimized crystal structure of LaSbPb2.

extended XYZ file:
```
4
Lattice="-4.988 2.364 -10.307 -4.978 -1.162 -10.516 -7.616 0.501 -8.857" Properties=species:S:1:pos:R:3 pbc="T T T"
La -13.186 1.276 -22.260
Pb -17.532 1.697 -29.597
Pb -8.840 0.856 -14.923
Sb -4.395 0.425 -7.420
```

Values from the calculation:
E_form (uncorrected): 0.02 eV per atom
V: 124 Å³/cell

---

A plane-wave DFT calculation with GGA-PBE was carried out for an optimized crystal structure of CsNa2GaF6.

extended XYZ file:
```
10
Lattice="5.956 0.000 0.002 2.978 5.156 0.001 2.979 1.718 5.370" Properties=species:S:1:pos:R:3 pbc="T T T"
F 4.524 2.958 4.225
F 7.089 2.435 4.224
F 6.260 4.917 4.224
F 5.316 5.362 1.108
F 7.944 3.030 1.108
F 4.609 1.921 1.107
Na 2.978 1.719 5.240
Na 5.957 3.437 2.251
Cs 8.935 5.155 3.361
Ga 2.978 1.719 0.096
```

Values from the calculation:
E_form (uncorrected): -2.74 eV per atom
V: 165 Å³/cell

---

A plane-wave DFT calculation with GGA-PBE was carried out for an optimized crystal structure of CePa10Al2.

extended XYZ file:
```
13
Lattice="-1.495 5.278 1.888 -7.618 1.810 -2.175 -3.227 -0.297 7.187" Properties=species:S:1:pos:R:3 pbc="T T T"
Pa -4.769 0.477 3.805
Pa -7.498 2.877 3.849
Pa -2.683 1.871 1.559
Pa -1.614 -0.148 3.594
Pa -9.658 4.920 5.341
Pa -7.436 4.027 0.685
Pa -4.842 3.914 3.051
Pa -7.571 6.314 3.096
Pa -4.905 2.764 6.216
Pa -2.361 2.491 4.538
Al -3.809 0.905 -1.088
Al -4.556 3.544 -0.144
Ce 0.000 0.000 0.000
```

Values from the calculation:
V: 323 Å³/cell
ΔE_f: 0.0780 eV/atom

---

A plane-wave DFT calculation with GGA-PBE was carried out for an optimized crystal structure of Pr2Be3AlCu12.

extended XYZ file:
```
18
Lattice="-6.461 2.902 2.028 -6.053 -4.148 -0.655 -3.189 -2.522 6.143" Properties=species:S:1:pos:R:3 pbc="T T T"
Cu -3.489 -1.694 3.921
Cu -5.084 0.951 1.914
Cu -10.619 -4.719 5.602
Cu -4.885 -2.486 0.606
Cu -8.686 -3.620 2.134
Cu -6.785 -4.164 3.854
Cu -12.214 -2.074 3.596
Cu -7.054 -2.693 6.007
Cu -10.818 -1.282 6.910
Cu -8.918 0.397 3.662
Cu -8.649 -1.074 1.510
Cu -7.017 -0.148 5.382
Pr -6.210 -1.490 2.973
Pr -9.493 -2.278 4.544
Be -1.595 -1.261 3.072
Be -3.027 -2.074 -0.327
Be -3.230 1.451 1.014
Al 0.000 0.000 0.000
```

Values from the calculation:
V: 293 Å³/cell
ΔE_f: 0.2863 eV/atom

---

A plane-wave DFT calculation with GGA-PBE was carried out for an optimized crystal structure of PaCuAsS.

extended XYZ file:
```
8
Lattice="4.189 0.000 0.000 0.000 4.189 0.000 0.000 0.000 8.450" Properties=species:S:1:pos:R:3 pbc="T T T"
Cu 2.095 2.095 0.000
Cu 0.000 0.000 0.000
S 2.095 2.095 4.225
S 0.000 0.000 4.225
As 2.095 0.000 1.417
As 0.000 2.095 7.032
Pa 0.000 2.095 2.439
Pa 2.095 0.000 6.011
```

Values from the calculation:
E_form (uncorrected): -0.87 eV per atom
V: 148 Å³/cell

---

A plane-wave DFT calculation with GGA-PBE was carried out for an optimized crystal structure of CaAg2Au.

extended XYZ file:
```
4
Lattice="-1.640 2.143 2.375 -2.939 0.198 -2.209 -5.450 -4.918 0.674" Properties=species:S:1:pos:R:3 pbc="T T T"
Ag -3.022 0.030 -2.114
Ag -2.901 -0.076 0.785
Au -4.156 -2.282 -0.811
Ca -7.084 -2.411 0.004
```

Values from the calculation:
V: 85 Å³/cell
ΔE_f: -0.3232 eV/atom

---

A plane-wave DFT calculation with GGA-PBE was carried out for an optimized crystal structure of SbTe3.

extended XYZ file:
```
8
Lattice="-0.548 1.244 3.785 -4.096 -6.628 1.585 7.509 -4.062 2.422" Properties=species:S:1:pos:R:3 pbc="T T T"
Te 1.382 -5.870 2.129
Te -1.998 -2.167 2.559
Te 1.878 -8.219 5.109
Te 1.413 -1.931 0.839
Te 5.016 -3.880 2.001
Te -2.028 -6.106 3.849
Sb 2.162 -3.543 3.614
Sb -2.777 -4.494 1.075
```

Values from the calculation:
E_form (uncorrected): 0.09 eV per atom
V: 284 Å³/cell
energy above the lowest structure with this stoichiometry: 82 meV/atom

---

A plane-wave DFT calculation with GGA-PBE was carried out for an optimized crystal structure of Na4TbCe3S8.

extended XYZ file:
```
16
Lattice="8.218 0.000 0.000 0.000 8.183 -0.031 -4.109 -4.104 5.814" Properties=species:S:1:pos:R:3 pbc="T T T"
S 0.000 0.087 2.964
S 2.087 1.912 5.736
S 2.022 2.167 0.046
S 6.196 2.167 0.046
S 0.000 4.003 2.769
S 4.109 0.076 3.014
S -2.087 1.912 5.736
S 4.109 3.992 2.819
Ce 2.054 2.039 2.891
Ce 4.109 4.091 -0.016
Ce -2.054 2.039 2.891
Na 4.109 0.000 0.000
Na 0.000 0.000 0.000
Na 2.054 -2.052 2.907
Na -2.054 -2.052 2.907
Tb 0.000 4.091 -0.016
```

Values from the calculation:
E_form (uncorrected): -1.77 eV per atom
V: 390 Å³/cell

---

A plane-wave DFT calculation with GGA-PBE was carried out for an optimized crystal structure of Tb2SmAu.

extended XYZ file:
```
16
Lattice="6.690 0.000 0.000 0.000 7.015 0.000 0.000 0.000 9.973" Properties=species:S:1:pos:R:3 pbc="T T T"
Tb 2.126 1.318 0.534
Tb 5.471 2.189 5.521
Tb 1.218 4.825 0.534
Tb 4.563 5.697 5.521
Tb 4.563 5.697 9.439
Tb 2.126 1.318 4.452
Tb 5.471 2.189 9.439
Tb 1.218 4.825 4.452
Au 3.753 0.725 7.480
Au 0.409 2.783 2.493
Au 2.936 6.290 2.493
Au 6.281 4.232 7.480
Sm 0.849 6.976 7.480
Sm 4.194 3.546 2.493
Sm 5.841 0.038 2.493
Sm 2.496 3.469 7.480
```

Values from the calculation:
V: 468 Å³/cell
ΔE_f: -0.4270 eV/atom
energy above the lowest structure with this stoichiometry: 0 meV/atom

---

A plane-wave DFT calculation with GGA-PBE was carried out for an optimized crystal structure of MnBeTlSe3.

extended XYZ file:
```
12
Lattice="3.690 0.000 0.000 0.000 8.784 0.488 0.000 -3.739 8.689" Properties=species:S:1:pos:R:3 pbc="T T T"
Tl 0.923 0.913 2.078
Tl 2.768 4.132 7.099
Se 2.768 -0.296 4.707
Se 0.923 1.487 7.613
Se 2.768 7.048 1.761
Se 2.768 3.559 1.564
Se 0.923 5.342 4.470
Se 0.923 -2.002 7.416
Be 2.768 6.570 3.964
Be 0.923 -1.524 5.213
Mn 0.923 5.295 1.508
Mn 2.768 -0.249 7.669
```

Values from the calculation:
E_form (uncorrected): -0.52 eV per atom
V: 288 Å³/cell

---

A plane-wave DFT calculation with GGA-PBE was carried out for an optimized crystal structure of AlCoNiSn.

extended XYZ file:
```
4
Lattice="-2.114 3.692 -0.360 -3.135 0.394 -2.872 -4.060 0.271 1.295" Properties=species:S:1:pos:R:3 pbc="T T T"
Ni -4.654 2.179 -0.969
Co 0.000 0.000 0.000
Sn -2.327 1.089 -0.484
Al -6.981 3.268 -1.453
```

Values from the calculation:
V: 55 Å³/cell
ΔE_f: -0.2232 eV/atom

---

A plane-wave DFT calculation with GGA-PBE was carried out for an optimized crystal structure of Ti2HgPd2.

extended XYZ file:
```
5
Lattice="-1.060 -1.907 -3.762 -3.662 -1.508 1.796 -4.804 2.502 -2.429" Properties=species:S:1:pos:R:3 pbc="T T T"
Ti -4.112 -0.556 -3.587
Ti -5.413 -0.357 -0.808
Pd -2.969 -0.659 -1.343
Pd -6.556 -0.253 -3.052
Hg 0.000 0.000 0.000
```

Values from the calculation:
V: 96 Å³/cell
ΔE_f: -0.1673 eV/atom
energy above the lowest structure with this stoichiometry: 259 meV/atom

---

Ordered magnetic moment results: 0.00; 0.10; 0.28; 0.00; 0.64; 0.00; 0.00; 3.02; 0.00; 4.00; 0.00; 0.00; unit μB/f.u..